# Nb3V5B8Ir4 | Alexandria | PBEsol | relaxed
data_Nb3V5B8Ir4
_cell_length_a 7.2361
_cell_length_b 3.1944
_cell_length_c 9.2783
_cell_angle_alpha 90.00
_cell_angle_beta 90.13
_cell_angle_gamma 90.00
_space_group_name_H-M_alt 'P 1 m 1'
_space_group_IT_number 6
loop_
_space_group_symop_operation_xyz
'x,y,z'
'x,-y,z'
loop_
_atom_site_label
_atom_site_type_symbol
_atom_site_fract_x
_atom_site_fract_y
_atom_site_fract_z
Nb1 Nb 0.0000 0.0000 0.0000
Nb2 Nb 0.1449 0.5000 0.4977
Nb3 Nb 0.4998 0.5000 0.7571
V1 V 0.2550 0.0000 0.2632
V2 V 0.3956 0.0000 0.9934
V3 V 0.6396 0.0000 0.2580
V4 V 0.7491 0.5000 0.4876
V5 V 0.8919 0.5000 0.7625
B1 B 0.2062 0.5000 0.8971
B2 B 0.2138 0.5000 0.0924
B3 B 0.4425 0.5000 0.1676
B4 B 0.4520 0.5000 0.3581
B5 B 0.7036 0.0000 0.8625
B6 B 0.7106 0.0000 0.6647
B7 B 0.9322 0.0000 0.5881
B8 B 0.9354 0.0000 0.3920
Ir1 Ir 0.1888 0.0000 0.7359
Ir2 Ir 0.4570 0.0000 0.5168
Ir3 Ir 0.6893 0.5000 0.0242
Ir4 Ir 0.9498 0.5000 0.2364
# energy = -9.54 eV/atom
# formation energy = -0.7358 eV/atom
# calculated density = 10.75 g/cm3

---

# BIr2O | Alexandria | PBEsol | relaxed
data_BIr2O
_cell_length_a 5.4728
_cell_length_b 5.4728
_cell_length_c 5.4728
_cell_angle_alpha 90.00
_cell_angle_beta 90.00
_cell_angle_gamma 90.00
_space_group_name_H-M_alt 'F m -3 m'
_space_group_IT_number 225
_space_group_name_Hall '-F 4 2 3'
loop_
_atom_site_label
_atom_site_type_symbol
_atom_site_fract_x
_atom_site_fract_y
_atom_site_fract_z
B1 B 0.0000 0.0000 0.0000
Ir1 Ir 0.2500 0.2500 0.2500
O1 O 0.0000 0.0000 0.5000
# energy = -7.52 eV/atom
# E_form (uncorrected) = 44.1 kJ per mole of atoms
# calculated density = 16.66 g/cm3

---

# B2IrOs2 | Alexandria | PBEsol | relaxed
data_B2IrOs2
_cell_length_a 3.7803
_cell_length_b 3.7803
_cell_length_c 8.3463
_cell_angle_alpha 90.00
_cell_angle_beta 90.00
_cell_angle_gamma 90.00
_space_group_name_H-M_alt 'I 4/m m m'
_space_group_IT_number 139
_space_group_name_Hall '-I 4 2'
loop_
_atom_site_label
_atom_site_type_symbol
_atom_site_fract_x
_atom_site_fract_y
_atom_site_fract_z
B1 B 0.0000 0.5000 0.2500
Ir1 Ir 0.0000 0.0000 0.0000
Os1 Os 0.0000 0.0000 0.3563
# energy = -9.10 eV/atom
# formation energy = 0.5556 eV/atom
# calculated density = 16.55 g/cm3

---

# TlBIrOs2 | Alexandria | PBEsol | relaxed
data_TlBIrOs2
_cell_length_a 4.9511
_cell_length_b 4.9511
_cell_length_c 3.8488
_cell_angle_alpha 90.00
_cell_angle_beta 90.00
_cell_angle_gamma 90.00
_space_group_name_H-M_alt 'P 4/m m m'
_space_group_IT_number 123
_space_group_name_Hall '-P 4 2'
loop_
_atom_site_label
_atom_site_type_symbol
_atom_site_fract_x
_atom_site_fract_y
_atom_site_fract_z
Tl1 Tl 0.0000 0.0000 0.0000
B1 B 0.0000 0.0000 0.5000
Ir1 Ir 0.5000 0.5000 0.5000
Os1 Os 0.0000 0.5000 0.0000
# energy = -5.42 eV/atom
# formation energy = 3.3575 eV/atom
# calculated density = 13.87 g/cm3

---

# BIrPtPb2 | Alexandria | PBEsol | relaxed
data_BIrPtPb2
_cell_length_a 5.2420
_cell_length_b 5.2420
_cell_length_c 4.8170
_cell_angle_alpha 90.00
_cell_angle_beta 90.00
_cell_angle_gamma 90.00
_space_group_name_H-M_alt 'P 4/m m m'
_space_group_IT_number 123
_space_group_name_Hall '-P 4 2'
loop_
_atom_site_label
_atom_site_type_symbol
_atom_site_fract_x
_atom_site_fract_y
_atom_site_fract_z
B1 B 0.0000 0.0000 0.0000
Ir1 Ir 0.5000 0.5000 0.0000
Pt1 Pt 0.5000 0.5000 0.5000
Pb1 Pb 0.0000 0.5000 0.5000
# energy = -4.57 eV/atom
# formation energy = 1.7876 eV/atom
# calculated density = 10.19 g/cm3

---

# PrB2Ir2 | Alexandria | PBEsol | relaxed
data_PrB2Ir2
_cell_length_a 6.0271
_cell_length_b 9.3434
_cell_length_c 10.5988
_cell_angle_alpha 90.00
_cell_angle_beta 90.00
_cell_angle_gamma 90.00
_space_group_name_H-M_alt 'F d d d'
_space_group_IT_number 70
loop_
_space_group_symop_operation_xyz
'x,y,z'
'-x,-y,-z'
'-x+1/4,-y+1/4,z'
'x+1/4,y+1/4,-z'
'x,-y+1/4,-z+1/4'
'-x,y+1/4,z+1/4'
'-x+1/4,y,-z+1/4'
'x+1/4,-y,z+1/4'
'x,y+1/2,z+1/2'
'-x,-y+1/2,-z+1/2'
'-x+1/4,-y+3/4,z+1/2'
'x+1/4,y+3/4,-z+1/2'
'x,-y+3/4,-z+3/4'
'-x,y+3/4,z+3/4'
'-x+1/4,y+1/2,-z+3/4'
'x+1/4,-y+1/2,z+3/4'
'x+1/2,y,z+1/2'
'-x+1/2,-y,-z+1/2'
'-x+3/4,-y+1/4,z+1/2'
'x+3/4,y+1/4,-z+1/2'
'x+1/2,-y+1/4,-z+3/4'
'-x+1/2,y+1/4,z+3/4'
'-x+3/4,y,-z+3/4'
'x+3/4,-y,z+3/4'
'x+1/2,y+1/2,z'
'-x+1/2,-y+1/2,-z'
'-x+3/4,-y+3/4,z'
'x+3/4,y+3/4,-z'
'x+1/2,-y+3/4,-z+1/4'
'-x+1/2,y+3/4,z+1/4'
'-x+3/4,y+1/2,-z+1/4'
'x+3/4,-y+1/2,z+1/4'
loop_
_atom_site_label
_atom_site_type_symbol
_atom_site_fract_x
_atom_site_fract_y
_atom_site_fract_z
Pr1 Pr 0.1250 0.1250 0.1250
B1 B 0.1250 0.3043 0.6250
Ir1 Ir 0.1250 0.1250 0.4956
# energy = -8.50 eV/atom
# formation energy = -0.7222 eV/atom
# calculated density = 12.17 g/cm3

---

# Ti7B8Ir2Rh4 | Alexandria | PBEsol | relaxed
data_Ti7B8Ir2Rh4
_cell_length_a 9.1562
_cell_length_b 3.1672
_cell_length_c 9.1576
_cell_angle_alpha 90.00
_cell_angle_beta 119.95
_cell_angle_gamma 90.00
_space_group_name_H-M_alt 'P 1 m 1'
_space_group_IT_number 6
loop_
_space_group_symop_operation_xyz
'x,y,z'
'x,-y,z'
loop_
_atom_site_label
_atom_site_type_symbol
_atom_site_fract_x
_atom_site_fract_y
_atom_site_fract_z
Ti1 Ti 0.0000 0.0000 0.0000
Ti2 Ti 0.0849 0.0000 0.3613
Ti3 Ti 0.2772 0.0000 0.9146
Ti4 Ti 0.3628 0.0000 0.2776
Ti5 Ti 0.4490 0.0000 0.6399
Ti6 Ti 0.6387 0.0000 0.1908
Ti7 Ti 0.7241 0.0000 0.5543
B1 B 0.0289 0.0000 0.6111
B2 B 0.1439 0.5000 0.2121
B3 B 0.2090 0.5000 0.0590
B4 B 0.2976 0.5000 0.4314
B5 B 0.4271 0.5000 0.1232
B6 B 0.5164 0.5000 0.4959
B7 B 0.5815 0.5000 0.3420
B8 B 0.6958 0.0000 0.9437
Ir1 Ir 0.2080 0.5000 0.6309
Ir2 Ir 0.8698 0.5000 0.4316
Rh1 Rh 0.0092 0.5000 0.7691
Rh2 Rh 0.5185 0.5000 0.9234
Rh3 Rh 0.7166 0.5000 0.7872
Rh4 Rh 0.8524 0.5000 0.1204
# energy = -8.85 eV/atom
# formation energy = -0.9202 eV/atom
# calculated density = 8.79 g/cm3

---

# YBIr2Rh | Alexandria | PBEsol | relaxed
data_YBIr2Rh
_cell_length_a 4.6369
_cell_length_b 4.6369
_cell_length_c 5.0521
_cell_angle_alpha 90.00
_cell_angle_beta 90.00
_cell_angle_gamma 90.00
_space_group_name_H-M_alt 'P 4/m m m'
_space_group_IT_number 123
_space_group_name_Hall '-P 4 2'
loop_
_atom_site_label
_atom_site_type_symbol
_atom_site_fract_x
_atom_site_fract_y
_atom_site_fract_z
Y1 Y 0.0000 0.0000 0.0000
B1 B 0.5000 0.5000 0.0000
Ir1 Ir 0.0000 0.5000 0.5000
Rh1 Rh 0.0000 0.0000 0.5000
# energy = -6.54 eV/atom
# formation energy = 1.7875 eV/atom
# calculated density = 8.97 g/cm3

---

# Sc2BIr | Alexandria | PBEsol | relaxed
data_Sc2BIr
_cell_length_a 2.9947
_cell_length_b 2.9947
_cell_length_c 24.4345
_cell_angle_alpha 90.00
_cell_angle_beta 90.00
_cell_angle_gamma 120.00
_space_group_name_H-M_alt 'R -3 m'
_space_group_IT_number 166
_space_group_name_Hall '-R 3 2"'
loop_
_atom_site_label
_atom_site_type_symbol
_atom_site_fract_x
_atom_site_fract_y
_atom_site_fract_z
Sc1 Sc 0.0000 0.0000 0.1008
B1 B 0.0000 0.0000 0.5000
Ir1 Ir 0.0000 0.0000 0.0000
# energy = -7.37 eV/atom
# formation energy = 0.1474 eV/atom
# calculated density = 7.69 g/cm3

---

# ScBIr2 | Alexandria | PBEsol | relaxed
data_ScBIr2
_cell_length_a 6.6876
_cell_length_b 6.6876
_cell_length_c 5.0609
_cell_angle_alpha 90.00
_cell_angle_beta 90.00
_cell_angle_gamma 90.00
_space_group_name_H-M_alt 'I -4 2 d'
_space_group_IT_number 122
_space_group_name_Hall 'I -4 2bw'
loop_
_atom_site_label
_atom_site_type_symbol
_atom_site_fract_x
_atom_site_fract_y
_atom_site_fract_z
Sc1 Sc 0.0000 0.0000 0.0000
B1 B 0.0000 0.0000 0.5000
Ir1 Ir 0.1519 0.7500 0.6250
# energy = -8.85 eV/atom
# formation energy = -0.5344 eV/atom
# calculated density = 12.92 g/cm3